# 1
Here is TlNiSe3 after structural relaxation from the Alexandria database. Energies are from PBE-GGA.

Values from the calculation:
Relative energy among the computed polymorphs (eV/atom): 0.000
Raw formation energy (kJ per mole of atoms): -6.5

Cell: 6.8809 10.1254 6.2796 Å, 90.00 90.00 90.00°
Last column: nearest neighbours and their distance in Å.
Space group Pnma (No. 62)
Inequivalent atoms, fractional coordinates:
Tl 0.0506 0.2500 0.0303 x4  5 Se 2.70-2.93
Ni 0.0000 0.0000 0.5000 x4  6 Se 2.41-2.62
Se 0.0164 0.7500 0.3938 x4  2 Ni 2.62, 1 Tl 2.70
Se 0.2271 0.5648 0.7818 x8  2 Ni 2.41-2.45

# 2
Here is Ti3AuN after structural relaxation from the Alexandria database. Energies are from PBE-GGA.

Values from the calculation:
Raw formation energy (kJ per mole of atoms): -88.3

Cell: 12.6724 3.0362 9.6692 Å, 90.00 129.46 90.00°
Last column: nearest neighbours and their distance in Å.
Space group Cm (No. 8)
Inequivalent atoms, fractional coordinates:
Ti 0.0000 0.0000 0.0000 x2  4 Au 2.78-2.93, 8 Ti 2.79-3.07
Ti 0.0014 0.5000 0.4985 x2  3 N 2.08-2.09
Ti 0.1391 0.5000 0.8787 x2  2 N 2.11
Ti 0.1474 0.0000 0.3725 x2  2 N 2.06
Ti 0.2490 0.0000 0.7286 x2  3 N 2.02-2.09
Ti 0.3906 0.5000 0.6428 x2  2 N 2.04-2.12
Au 0.2546 0.5000 0.2415 x2  8 Ti 2.81-3.09, 4 Au 3.01-3.04
Au 0.3898 0.0000 0.1222 x2  8 Ti 2.78-3.01, 4 Au 3.01-3.04
N 0.0708 0.0000 0.6862 x2  6 Ti 2.02-2.11
N 0.1855 0.5000 0.5426 x2  6 Ti 2.06-2.12

# 3
Here is Tb2SbF after structural relaxation from the Alexandria database. Energies are from PBE-GGA.

Values from the calculation:
Raw formation energy (kJ per mole of atoms): -150.6

Cell: 4.1082 4.1082 19.4097 Å, 90.00 90.00 120.00°
Last column: nearest neighbours and their distance in Å.
Space group R-3m (No. 166, hexagonal axes)
Inequivalent atoms, fractional coordinates:
Tb 0.0000 0.0000 0.2369 x6  3 F 2.74, 3 Sb 3.02
Sb 0.0000 0.0000 0.0000 x3  6 Tb 3.02
F 0.0000 0.0000 0.5000 x3  6 Tb 2.74

# 4
Here is Ba2AgSn4Pd3 after structural relaxation from the Alexandria database. Energies are from PBE-GGA.

Values from the calculation:
Energy relative to the elements (eV per atom): -0.6298

Cell: 4.7856 4.7856 11.1261 Å, 90.00 90.00 90.00°
Last column: nearest neighbours and their distance in Å.
Space group P-4m2 (No. 115)
Inequivalent atoms, fractional coordinates:
Ba 0.0000 0.5000 0.2488 x2  8 Sn 3.64-3.68, 6 Pd 3.66, 2 Ag 3.66
Ag 0.5000 0.5000 0.0000 x1  4 Sn 2.78
Sn 0.0000 0.0000 0.5000 x1  4 Pd 2.77
Sn 0.0000 0.5000 0.8727 x2  3 Pd 2.75-2.78, 2 Ag 2.78
Sn 0.5000 0.5000 0.5000 x1  4 Pd 2.77
Pd 0.0000 0.0000 0.0000 x1  4 Sn 2.78
Pd 0.0000 0.5000 0.6254 x2  5 Sn 2.75-2.77

# 5
Here is Sr3ZnRh2 after structural relaxation from the Alexandria database. Energies are from PBE-GGA.

Values from the calculation:
Energy relative to the elements (eV per atom): -0.2867

Cell: 8.7910 8.7910 15.1937 Å, 90.00 90.00 120.00°
Last column: nearest neighbours and their distance in Å.
Space group R-3c (No. 167, hexagonal axes)
Inequivalent atoms, fractional coordinates:
Sr 0.0000 0.3190 0.2500 x18  4 Rh 3.10-3.23, 2 Zn 3.25
Zn 0.0000 0.0000 0.0000 x6  2 Rh 2.47
Rh 0.0000 0.0000 0.1625 x12  1 Zn 2.47, 1 Rh 2.66

# 6
Here is YGeSO2 after structural relaxation from the Alexandria database. Energies are from PBE-GGA.

Values from the calculation:
Raw formation energy (kJ per mole of atoms): -36.7

Cell: 4.0454 4.0454 4.7302 Å, 90.00 90.00 90.00°
Last column: nearest neighbours and their distance in Å.
Space group P4/mmm (No. 123)
Inequivalent atoms, fractional coordinates:
Y 0.0000 0.0000 0.0000 x1  4 Ge 2.86, 8 O 3.11
Ge 0.5000 0.5000 0.0000 x1  2 S 2.37
S 0.5000 0.5000 0.5000 x1  4 O 2.02
O 0.0000 0.5000 0.5000 x2  2 S 2.02

no.,D(E_F) (states/eV/cell),final energy (eV per atom)
1,9.34,-3.787
2,13.40,-7.973
3,5.32,-5.375
4,4.54,-4.458
5,12.44,-3.790
6,1.92,-5.405